Rb4Y3HoTe8 | PBE | relaxed

extended XYZ file:
```
16
Lattice="4.524 2.612 8.548 -4.524 2.612 8.548 0.000 -5.224 8.548" Properties=species:S:1:pos:R:3 pbc="T T T"
Rb 0.000 0.000 0.000
Rb -2.262 -1.306 8.548
Rb -2.262 1.306 17.096
Rb 0.000 2.612 8.548
Y -4.524 0.000 12.822
Y -2.262 1.306 4.274
Y 2.262 1.306 4.274
Ho 0.000 0.000 12.822
Te 0.000 0.000 5.982
Te -2.254 -1.301 14.525
Te 0.000 -2.603 11.119
Te -2.254 1.301 11.119
Te 2.254 -1.301 14.525
Te 0.000 2.603 14.525
Te 2.254 1.301 11.119
Te 0.000 0.000 19.663
```

## Properties
Space group   R-3m, No. 166
Density   4.916 g/cm³
E_form (uncorrected)   -1394 meV/atom
Energy   -4.71 eV/atom


BeReOs | PBE | relaxed

extended XYZ file:
```
12
Lattice="5.110 0.000 0.000 0.000 4.028 0.000 0.000 0.000 7.430" Properties=species:S:1:pos:R:3 pbc="T T T"
Be 1.079 1.007 0.868
Be 1.476 3.021 4.583
Be 3.634 1.007 2.847
Be 4.031 3.021 6.562
Re 0.384 1.007 5.897
Re 2.171 3.021 2.182
Re 2.939 1.007 5.247
Re 4.726 3.021 1.533
Os 1.017 1.007 3.305
Os 1.538 3.021 7.019
Os 3.572 1.007 0.410
Os 4.093 3.021 4.125
```

## Properties
Formation enthalpy at 0 K   0.03 eV/atom
Space group   Pnma, No. 62
Density   16.744 g/cm³
ΔE to the lowest computed polymorph   205 meV/atom
Fermi-level density of states   0.56 states/eV per atom
Energy   -9.11 eV/atom


PmSmDy4 | PBE | relaxed

extended XYZ file:
```
6
Lattice="0.000 4.674 4.674 4.674 0.000 4.674 4.674 4.674 0.000" Properties=species:S:1:pos:R:3 pbc="T T T"
Pm 0.000 0.000 0.000
Sm 7.011 7.011 7.011
Dy 3.506 3.506 3.506
Dy 5.843 5.843 3.506
Dy 5.843 3.506 5.843
Dy 3.506 5.843 5.843
```

## Properties
Formation enthalpy at 0 K   0.28 eV/atom
Space group   F-43m, No. 216
Density   7.685 g/cm³
ΔE to the lowest computed polymorph   264 meV/atom
Fermi-level density of states   2.25 states/eV per atom
Energy   -4.36 eV/atom


Hf2TiH4 | PBE | relaxed

extended XYZ file:
```
14
Lattice="3.476 0.000 0.000 0.000 3.476 0.000 0.000 0.000 11.238" Properties=species:S:1:pos:R:3 pbc="T T T"
Hf 0.000 0.000 1.803
Hf 0.000 0.000 9.435
Hf 1.738 1.738 3.816
Hf 1.738 1.738 7.422
Ti 0.000 0.000 5.619
Ti 1.738 1.738 0.000
H 0.000 0.000 3.769
H 0.000 0.000 7.468
H 0.000 1.738 0.000
H 0.000 1.738 5.619
H 1.738 0.000 0.000
H 1.738 0.000 5.619
H 1.738 1.738 1.850
H 1.738 1.738 9.388
```

## Properties
Space group   I4/mmm, No. 139
Density   9.998 g/cm³
ΔE to the lowest computed polymorph   107 meV/atom
Fermi-level density of states   0.37 states/eV per atom
Energy   -6.13 eV/atom